Entry 1:
VASP calculation (PBE-GGA) on a relaxed structure of LiLaNi3.

## Properties
The value obtained for the size of the total moment is 0.000 Bohr magnetons per cell. The calculation puts the calculated volume at 22.8 A^3/atom. The value obtained for the formation energy from the elements is 507.1 kJ/mol of formula units. The calculation puts the relative energy among the computed polymorphs at 452.4 kJ/mol of formula units.

Structure (CIF):
```
data_LiLaNi3
_chemical_formula_sum 'Li1 La1 Ni3'
_symmetry_space_group_name_H-M 'P m -3 m'
_symmetry_Int_Tables_number 221
_symmetry_space_group_name_Hall '-P 4 2 3'
_cell_length_a 4.846
_cell_length_b 4.846
_cell_length_c 4.846
_cell_angle_alpha 90.00
_cell_angle_beta 90.00
_cell_angle_gamma 90.00
loop_
_atom_site_label
_atom_site_type_symbol
_atom_site_fract_x
_atom_site_fract_y
_atom_site_fract_z
Li1 Li 0.000 0.000 0.000
La1 La 0.500 0.500 0.500
Ni1 Ni 0.000 0.500 0.500
```

Entry 2:
VASP calculation (PBE-GGA) on a relaxed structure of LiLa2Ni.

## Properties
The value obtained for the size of the total moment is 0.000 Bohr magnetons per cell. The calculation puts the calculated volume at 24.5 A^3/atom. The value obtained for the formation energy from the elements is -14.1 kJ/mol of formula units.

Structure (CIF):
```
data_LiLa2Ni
_chemical_formula_sum 'Li1 La2 Ni1'
_symmetry_space_group_name_H-M 'P 4/m m m'
_symmetry_Int_Tables_number 123
_symmetry_space_group_name_Hall '-P 4 2'
_cell_length_a 5.112
_cell_length_b 5.112
_cell_length_c 3.747
_cell_angle_alpha 90.00
_cell_angle_beta 90.00
_cell_angle_gamma 90.00
loop_
_atom_site_label
_atom_site_type_symbol
_atom_site_fract_x
_atom_site_fract_y
_atom_site_fract_z
Li1 Li 0.000 0.000 0.000
La1 La 0.000 0.500 0.500
Ni1 Ni 0.500 0.500 0.000
```

Entry 3:
VASP calculation (PBE-GGA) on a relaxed structure of Li2LaNi2.

## Properties
The value obtained for the size of the total moment is 0.000 Bohr magnetons per cell. The calculation puts the calculated volume at 16.1 A^3/atom. The value obtained for the formation energy from the elements is 23.9 kJ/mol of formula units. The calculation puts the relative energy among the computed polymorphs at 102.2 kJ/mol of formula units.

Structure (CIF):
```
data_Li2LaNi2
_chemical_formula_sum 'Li4 La2 Ni4'
_symmetry_space_group_name_H-M 'P 4/m b m'
_symmetry_Int_Tables_number 127
_symmetry_space_group_name_Hall '-P 4 2ab'
_cell_length_a 7.275
_cell_length_b 7.275
_cell_length_c 3.033
_cell_angle_alpha 90.00
_cell_angle_beta 90.00
_cell_angle_gamma 90.00
loop_
_atom_site_label
_atom_site_type_symbol
_atom_site_fract_x
_atom_site_fract_y
_atom_site_fract_z
Li1 Li 0.110 0.390 0.000
La1 La 0.000 0.000 0.000
Ni1 Ni 0.186 0.686 0.500
```

Entry 4:
VASP calculation (PBE-GGA) on a relaxed structure of Li3LaNi3.

## Properties
The value obtained for the size of the total moment is 0.000 Bohr magnetons per cell. The calculation puts the calculated volume at 17.2 A^3/atom. The value obtained for the formation energy from the elements is 286.7 kJ/mol of formula units.

Structure (CIF):
```
data_Li3LaNi3
_chemical_formula_sum 'Li6 La2 Ni6'
_symmetry_space_group_name_H-M 'P m -3 n'
_symmetry_Int_Tables_number 223
_symmetry_space_group_name_Hall '-P 4n 2 3'
_cell_length_a 6.225
_cell_length_b 6.225
_cell_length_c 6.225
_cell_angle_alpha 90.00
_cell_angle_beta 90.00
_cell_angle_gamma 90.00
loop_
_atom_site_label
_atom_site_type_symbol
_atom_site_fract_x
_atom_site_fract_y
_atom_site_fract_z
Li1 Li 0.000 0.250 0.500
La1 La 0.000 0.000 0.000
Ni1 Ni 0.000 0.500 0.250
```

Entry 5:
VASP calculation (PBE-GGA) on a relaxed structure of Li2LaNi2.

## Properties
The value obtained for the size of the total moment is 0.000 Bohr magnetons per cell. The calculation puts the calculated volume at 18.5 A^3/atom. The value obtained for the formation energy from the elements is -78.3 kJ/mol of formula units. The calculation puts the relative energy among the computed polymorphs at 0.0 kJ/mol of formula units.

Structure (CIF):
```
data_Li2LaNi2
_chemical_formula_sum 'Li8 La4 Ni8'
_symmetry_space_group_name_H-M 'I m m a'
_symmetry_Int_Tables_number 74
_symmetry_space_group_name_Hall '-I 2b 2'
_cell_length_a 3.947
_cell_length_b 4.021
_cell_length_c 23.261
_cell_angle_alpha 90.00
_cell_angle_beta 90.00
_cell_angle_gamma 90.00
loop_
_atom_site_label
_atom_site_type_symbol
_atom_site_fract_x
_atom_site_fract_y
_atom_site_fract_z
Li1 Li 0.000 0.250 0.199
Li2 Li 0.000 0.250 0.703
La1 La 0.000 0.250 0.423
Ni1 Ni 0.000 0.250 0.872
Ni2 Ni 0.000 0.250 0.973
```

Entry 6:
VASP calculation (PBE-GGA) on a relaxed structure of Li2LaNi.

## Properties
The value obtained for the size of the total moment is 0.009 Bohr magnetons per cell. The calculation puts the calculated volume at 18.7 A^3/atom. The value obtained for the formation energy from the elements is 51.6 kJ/mol of formula units. The calculation puts the relative energy among the computed polymorphs at 73.4 kJ/mol of formula units.

Structure (CIF):
```
data_Li2LaNi
_chemical_formula_sum 'Li2 La1 Ni1'
_symmetry_space_group_name_H-M 'P m m m'
_symmetry_Int_Tables_number 47
_symmetry_space_group_name_Hall '-P 2 2'
_cell_length_a 2.999
_cell_length_b 4.660
_cell_length_c 5.355
_cell_angle_alpha 90.00
_cell_angle_beta 90.00
_cell_angle_gamma 90.00
loop_
_atom_site_label
_atom_site_type_symbol
_atom_site_fract_x
_atom_site_fract_y
_atom_site_fract_z
Li1 Li 0.000 0.000 0.204
La1 La 0.500 0.500 0.500
Ni1 Ni 0.500 0.500 0.000
```